P.
The following is a DFT calculation (SCAN) of a PBEsol-optimized structure of BeTl2Ir.

Properties
Space group: I-4m2
Calculated volume (Å³/atom): 17.38
Calculated density (Mg/m³): 14.57

```
BeTl2Ir
1.0
-2.036 2.036 4.194
2.036 -2.036 4.194
2.036 2.036 -4.194
Be Tl Ir
1 2 1
direct
0.000 0.000 0.000
0.250 0.750 0.500
0.500 0.500 0.000
0.750 0.250 0.500
```


Q.
The following is a DFT calculation (SCAN) of a PBEsol-optimized structure of BeTl2Ir.

Properties
Space group: P2/m
Calculated volume (Å³/atom): 18.21
Calculated density (Mg/m³): 13.91

```
BeTl2Ir
1.0
3.155 0.000 0.000
0.000 4.493 0.000
-0.159 0.000 5.137
Be Tl Ir
1 2 1
direct
0.000 0.000 0.000
0.225 0.500 0.246
0.775 0.500 0.754
0.500 0.000 0.500
```


On energetic grounds, P is preferred over the next structure by 5.9 kJ/mol of atoms.


P.
The following is a DFT calculation (SCAN) of a PBEsol-optimized structure of Be2IrW.

Properties
Space group: C2/m
Calculated volume (Å³/atom): 12.14
Calculated density (Mg/m³): 13.47

```
Be2IrW
1.0
3.934 -1.362 0.000
3.934 1.362 0.000
-1.094 0.000 4.534
Be Ir W
2 1 1
direct
0.243 0.243 0.211
0.757 0.757 0.789
0.500 0.500 0.000
0.000 0.000 0.500
```


Q.
The following is a DFT calculation (SCAN) of a PBEsol-optimized structure of Be2IrW.

Properties
Space group: Pmmm
Calculated volume (Å³/atom): 12.25
Calculated density (Mg/m³): 13.36

```
Be2IrW
1.0
2.793 0.000 0.000
0.000 3.900 0.000
0.000 0.000 4.498
Be Ir W
2 1 1
direct
0.000 0.000 0.000
0.500 0.000 0.500
0.000 0.500 0.500
0.500 0.500 0.000
```


On energetic grounds, P is preferred over the next structure by 2.1 kJ/mol of atoms.


P.
The following is a DFT calculation (SCAN) of a PBEsol-optimized structure of YBe2Ir.

Properties
Space group: R3m
Calculated volume (Å³/atom): 15.83
Calculated density (Mg/m³): 7.84

```
YBe2Ir
1.0
1.944 1.123 4.836
-1.944 1.123 4.836
0.000 -2.245 4.836
Y Be Ir
1 2 1
direct
0.000 0.000 0.000
0.187 0.187 0.187
0.490 0.490 0.490
0.803 0.803 0.803
```


Q.
The following is a DFT calculation (SCAN) of a PBEsol-optimized structure of YBe2Ir.

Properties
Space group: R-3m
Calculated volume (Å³/atom): 15.25
Calculated density (Mg/m³): 8.14

```
YBe2Ir
1.0
1.928 1.113 4.740
-1.928 1.113 4.740
0.000 -2.226 4.740
Y Be Ir
1 2 1
direct
0.000 0.000 0.000
0.197 0.197 0.197
0.803 0.803 0.803
0.500 0.500 0.500
```


On energetic grounds, Q is preferred over the next structure by 6.8 kJ/mol of atoms.


P.
The following is a DFT calculation (SCAN) of a PBEsol-optimized structure of BeZnIr2.

Properties
Space group: P4/mmm
Calculated volume (Å³/atom): 12.13
Calculated density (Mg/m³): 15.71

```
BeZnIr2
1.0
2.839 0.000 0.000
0.000 2.839 0.000
0.000 0.000 6.017
Be Zn Ir
1 1 2
direct
0.000 0.000 0.000
0.000 0.000 0.500
0.500 0.500 0.224
0.500 0.500 0.776
```


Q.
The following is a DFT calculation (SCAN) of a PBEsol-optimized structure of BeZnIr2.

Properties
Space group: F-43m
Calculated volume (Å³/atom): 13.02
Calculated density (Mg/m³): 14.63

```
BeZnIr2
1.0
0.000 2.964 2.964
2.964 0.000 2.964
2.964 2.964 0.000
Be Zn Ir
1 1 2
direct
0.000 0.000 0.000
0.250 0.250 0.250
0.500 0.500 0.500
0.750 0.750 0.750
```


On energetic grounds, P is preferred over the next structure by 44.3 kJ/mol of atoms.